VASP calculation (SCAN) on a PBEsol-optimized structure of BeTc2Ag.

```
BeTc2Ag
1.0
-1.341 2.114 4.695
1.341 -2.114 4.695
1.341 2.114 -4.695
Be Tc Ag
1 2 1
direct
0.000 0.000 0.000 Be
0.212 0.712 0.500 Tc
0.788 0.288 0.500 Tc
0.500 0.500 0.000 Ag
```

Results
Formation enthalpy at 0 K: 0.24 eV per atom
D(E_F): 2.39 states/eV/f.u.
Space-group type: Immm
Calculated total energy: -26.2172 eV per atom
Total magnetic moment: 0.00 Bohr magnetons per cell

VASP calculation (SCAN) on a PBEsol-optimized structure of BeTcAg2.

```
BeTcAg2
1.0
1.357 0.783 8.725
-1.357 0.783 8.725
0.000 -1.566 8.725
Be Tc Ag
1 1 2
direct
0.000 0.000 0.000 Be
0.500 0.500 0.500 Tc
0.258 0.258 0.258 Ag
0.742 0.742 0.742 Ag
```

Results
Formation enthalpy at 0 K: 0.37 eV per atom
D(E_F): 2.25 states/eV/f.u.
Space-group type: R-3m
Calculated total energy: -25.1633 eV per atom
Total magnetic moment: 0.00 Bohr magnetons per cell

VASP calculation (SCAN) on a PBEsol-optimized structure of BeTcAg2.

```
BeTcAg2
1.0
2.628 0.000 0.000
0.000 4.236 0.000
-1.317 0.000 5.030
Be Tc Ag
1 1 2
direct
0.000 0.000 0.000 Be
0.500 0.000 0.500 Tc
0.150 0.500 0.763 Ag
0.850 0.500 0.237 Ag
```

Results
Formation enthalpy at 0 K: 0.46 eV per atom
D(E_F): 2.53 states/eV/f.u.
Space-group type: P2/m
Calculated total energy: -25.0790 eV per atom
Total magnetic moment: 0.00 Bohr magnetons per cell

VASP calculation (SCAN) on a PBEsol-optimized structure of BeTcAg.

```
BeTcAg
1.0
2.674 0.000 0.000
-1.337 2.315 0.000
0.000 0.000 6.385
Be Tc Ag
1 1 1
direct
0.000 0.000 0.000 Be
0.333 0.667 0.700 Tc
0.667 0.333 0.317 Ag
```

Results
Formation enthalpy at 0 K: 0.24 eV per atom
D(E_F): 1.30 states/eV/f.u.
Space-group type: P3m1
Calculated total energy: -23.3530 eV per atom
Total magnetic moment: 0.00 Bohr magnetons per cell

VASP calculation (SCAN) on a PBEsol-optimized structure of BeTcAg2.

```
BeTcAg2
1.0
2.711 0.000 0.000
0.000 2.711 0.000
0.000 0.000 7.419
Be Tc Ag
1 1 2
direct
0.000 0.000 0.000 Be
0.500 0.500 0.203 Tc
0.000 0.000 0.488 Ag
0.500 0.500 0.785 Ag
```

Results
Formation enthalpy at 0 K: 0.19 eV per atom
D(E_F): 2.84 states/eV/f.u.
Space-group type: P4mm
Calculated total energy: -25.3427 eV per atom
Total magnetic moment: 0.00 Bohr magnetons per cell

VASP calculation (SCAN) on a PBEsol-optimized structure of BeTc2Ag.

```
BeTc2Ag
1.0
3.548 0.000 0.000
0.000 3.548 0.000
0.000 0.000 4.271
Be Tc Ag
1 2 1
direct
0.000 0.000 0.000 Be
0.000 0.500 0.500 Tc
0.500 0.000 0.500 Tc
0.500 0.500 0.000 Ag
```

Results
Formation enthalpy at 0 K: 0.37 eV per atom
D(E_F): 2.83 states/eV/f.u.
Space-group type: P4/mmm
Calculated total energy: -26.0857 eV per atom
Total magnetic moment: 0.00 Bohr magnetons per cell

VASP calculation (SCAN) on a PBEsol-optimized structure of Be4AgTe.

```
Be4AgTe
1.0
0.000 3.381 3.381
3.381 0.000 3.381
3.381 3.381 0.000
Be Ag Te
4 1 1
direct
0.377 0.377 0.377 Be
0.377 0.377 0.870 Be
0.377 0.870 0.377 Be
0.870 0.377 0.377 Be
0.750 0.750 0.750 Ag
0.000 0.000 0.000 Te
```

Results
D(E_F): 1.02 states/eV/f.u.
ΔE_f (raw): 2.82 eV/f.u.
Space-group type: F-43m
Calculated total energy: -13.8682 eV per atom
Total magnetic moment: 0.00 Bohr magnetons per cell

VASP calculation (SCAN) on a PBEsol-optimized structure of BeAgTe2.

```
BeAgTe2
1.0
1.907 1.101 6.656
-1.907 1.101 6.656
0.000 -2.202 6.656
Be Ag Te
1 1 2
direct
0.000 0.000 0.000 Be
0.500 0.500 0.500 Ag
0.261 0.261 0.261 Te
0.739 0.739 0.739 Te
```

Results
D(E_F): 1.66 states/eV/f.u.
ΔE_f (raw): 0.15 eV/f.u.
Space-group type: R-3m
Calculated total energy: -27.5193 eV per atom
Total magnetic moment: 0.00 Bohr magnetons per cell